No. 1
ZnInCl3 | Alexandria via LeMat-Bulk | PBE | relaxed; crystal system = trigonal; space-group type = R3c, No. 161; relative energy among the computed polymorphs = 0.107 eV per atom; raw formation energy = -88.6 kJ/mol of atoms
1.0
-1.7224 -2.9789 6.0851
4.3793 0.4479 5.4305
-1.6725 4.0223 5.4674
In Cl Zn
2 6 2
direct
0.2488 0.2488 0.2488
0.7488 0.7488 0.7488
0.7113 0.2442 0.7800
0.7442 0.2113 0.2800
0.2442 0.7800 0.7113
0.2113 0.2800 0.7442
0.2800 0.7442 0.2113
0.7800 0.7113 0.2442
0.9974 0.9974 0.9974
0.4974 0.4974 0.4974

No. 2
Ba3Se | Alexandria via LeMat-Bulk | PBE | relaxed; crystal system = orthorhombic; space-group type = Cmmm, No. 65; relative energy among the computed polymorphs = 0.068 eV per atom; raw formation energy = -82.6 kJ/mol of atoms
1.0
-0.3410 -3.7615 -2.6455
7.7198 0.3161 -1.4446
5.9761 -3.2923 3.9108
Se Ba
1 3
direct
0.5000 0.2500 0.2500
0.0000 0.0900 0.0898
0.5000 0.7500 0.7500
0.0000 0.4100 0.4102

No. 3
Hf2CrCu2 | Alexandria via LeMat-Bulk | PBE | relaxed; crystal system = tetragonal; space-group type = P4/mbm, No. 127; DFT formation energy = 0.3 eV/f.u.
1.0
-3.5608 -6.0211 1.1613
5.9556 -3.0758 2.3134
-0.6872 1.0055 3.1062
Cu Hf Cr
4 4 2
direct
0.6231 0.1231 0.0000
0.3769 0.8769 0.0000
0.1231 0.3769 0.0000
0.8769 0.6231 0.0000
0.6767 0.8233 0.5000
0.3233 0.1767 0.5000
0.8233 0.3233 0.5000
0.1767 0.6767 0.5000
0.5000 0.5000 0.0000
0.0000 0.0000 0.0000

No. 4
GaCuAsBr2 | Alexandria via LeMat-Bulk | PBE | relaxed; crystal system = tetragonal; space-group type = P4/mmm, No. 123; relative energy among the computed polymorphs = 0.000 eV per atom; raw formation energy = 14.0 kJ/mol of atoms
1.0
-3.6882 3.2317 -1.9958
-2.8104 -0.4504 4.4641
2.2602 3.6881 1.7950
Br As Cu Ga
2 1 1 1
direct
0.0000 0.5000 0.0000
0.5000 0.0000 0.0000
0.0000 0.0000 0.5000
0.0000 0.0000 0.0000
0.5000 0.5000 0.5000

No. 5
CuGeSb2Cl | Alexandria via LeMat-Bulk | PBE | relaxed; crystal system = tetragonal; space-group type = P4/mmm, No. 123; raw formation energy = 63.4 kJ/mol of atoms
1.0
-0.7011 4.5452 -2.8573
-3.9191 1.0221 2.5876
3.0547 2.7074 3.5571
Cl Sb Cu Ge
1 2 1 1
direct
0.0000 0.5000 0.0000
0.0000 0.0000 0.5000
0.5000 0.0000 0.0000
0.5000 0.5000 0.5000
0.0000 0.0000 0.0000

No. 6
CsBiSb2I | Alexandria via LeMat-Bulk | PBE | relaxed; crystal system = tetragonal; space-group type = P4/mmm, No. 123; relative energy among the computed polymorphs = 1.106 eV per atom; raw formation energy = 108.4 kJ/mol of atoms
1.0
6.5198 0.0000 0.0000
0.0000 6.5198 0.0000
0.0000 0.0000 6.6589
I Sb Cs Bi
1 2 1 1
direct
0.0000 0.0000 0.5000
0.0000 0.5000 0.0000
0.5000 0.0000 0.0000
0.0000 0.0000 0.0000
0.5000 0.5000 0.5000